The following is a PBE calculation of an optimized crystal structure of CsLiSe3, from Alexandria.

The structure in POSCAR format:
```
CsLiSe3
1.0
5.9153 0.0000 0.0000
0.0000 5.9153 0.0000
0.0000 0.0000 5.9153
Li Se Cs
1 3 1
Direct
0.5000 0.5000 0.5000
0.0000 0.5000 0.0000
0.0000 0.0000 0.5000
0.5000 0.0000 0.0000
0.0000 0.0000 0.0000
```

Output
Spin magnetization (μB/f.u.): 0.0
E_form (uncorrected) (eV per atom): 0.6351
Energy above the most stable polymorph in this dataset (meV/atom): 896.1

The following is a PBE calculation of an optimized crystal structure of Cs3LiSe2, from Alexandria.

The structure in POSCAR format:
```
Cs3LiSe2
1.0
7.9897 0.0000 -3.3170
-1.1762 6.6275 -2.8331
-0.7666 -0.1267 9.4343
Cs Se Li
6 4 2
Direct
0.5000 0.2500 0.0000
0.9857 0.1732 0.3464
0.6393 0.3268 0.6536
0.0143 0.8268 0.6536
0.5000 0.7500 0.0000
0.3607 0.6732 0.3464
0.2802 0.0927 0.1854
0.9052 0.5927 0.1854
0.7198 0.9073 0.8146
0.0948 0.4073 0.8146
0.0000 0.7500 0.0000
0.0000 0.2500 0.0000
```

Output
Spin magnetization (μB/f.u.): 0.0
E_form (uncorrected) (eV per atom): -1.0591